1.
VASP calculation (PBE) on a geometry-optimized LiMgRh2N structure.

Calculated values
energy above the most stable polymorph in this dataset = 0.116 eV/atom
total energy = -5.4966 eV per atom
raw formation energy = -0.189 eV/atom
symmetry = P4/mmm

a = 4.057 Å, b = 4.057 Å, c = 4.134 Å
α = 90.00°, β = 90.00°, γ = 90.00°
Fractional positions:
Li (0.500, 0.500, 0.500)
Rh (0.000, 0.500, 0.000)
Rh (0.500, 0.000, 0.000)
Mg (0.000, 0.000, 0.500)
N (0.000, 0.000, 0.000)

***

2.
VASP calculation (PBE) on a geometry-optimized Be2InW structure.

Calculated values
total energy = -5.2951 eV per atom
energy of formation from the pure elements = 0.4909 eV/atom
symmetry = P4/mmm

a = 2.750 Å, b = 2.750 Å, c = 7.938 Å
α = 90.00°, β = 90.00°, γ = 90.00°
Fractional positions:
Be (0.000, 0.000, 0.537)
W (0.500, 0.500, 0.750)
In (0.500, 0.500, 0.250)
Be (0.000, 0.000, 0.963)

***

3.
VASP calculation (PBE) on a geometry-optimized SnHgN2O structure.

Calculated values
total energy = -3.6465 eV per atom
raw formation energy = 1.536 eV/atom
symmetry = P4/mmm

a = 4.267 Å, b = 4.267 Å, c = 4.363 Å
α = 90.00°, β = 90.00°, γ = 90.00°
Last column: magnetic moment on the atom in μB.
Fractional positions:
N (0.000, 0.500, 0.000)  0.77
N (0.500, 0.000, 0.000)  0.77
Sn (0.500, 0.500, 0.500)  0.00
Hg (0.000, 0.000, 0.000)  0.08
O (0.000, 0.000, 0.500)  0.16

***

4.
VASP calculation (PBE) on a geometry-optimized YBRh2N structure.

Calculated values
total energy = -4.5666 eV per atom
raw formation energy = 2.667 eV/atom
symmetry = P4/mmm

a = 5.000 Å, b = 4.827 Å, c = 5.000 Å
α = 90.00°, β = 90.00°, γ = 90.00°
Last column: magnetic moment on the atom in μB.
Fractional positions:
B (0.000, 0.500, 0.000)  -0.07
Rh (0.500, 0.000, 0.000)  0.40
Rh (0.000, 0.000, 0.500)  0.44
N (0.500, 0.500, 0.500)  1.53
Y (0.000, 0.000, 0.000)  -0.07

***

5.
VASP calculation (PBE) on a geometry-optimized TiCoI6 structure.

Calculated values
total energy = -3.4756 eV per atom
raw formation energy = -0.438 eV/atom
symmetry = C2/m

a = 7.816 Å, b = 7.816 Å, c = 6.404 Å
α = 93.02°, β = 93.02°, γ = 122.76°
Last column: magnetic moment on the atom in μB.
Fractional positions:
Co (0.000, 0.000, 0.500)  0.81
Ti (0.000, 0.000, 0.000)  0.14
I (0.703, 0.703, 0.217)  0.00
I (0.297, 0.297, 0.783)  0.00
I (0.992, 0.717, 0.718)  -0.01
I (0.008, 0.283, 0.282)  -0.01
I (0.283, 0.008, 0.282)  -0.01
I (0.717, 0.992, 0.718)  -0.01

***

6.
VASP calculation (PBE) on a geometry-optimized TbNi12 structure.

Calculated values
total energy = -5.8077 eV per atom
energy of formation from the pure elements = -0.1150 eV/atom
symmetry = I4/mmm

a = 4.703 Å, b = 6.261 Å, c = 6.261 Å
α = 81.89°, β = 67.94°, γ = 67.94°
Last column: magnetic moment on the atom in μB.
Fractional positions:
Ni (0.645, 0.355, 0.355)  0.49
Tb (0.000, 0.000, 0.000)  -0.13
Ni (0.276, 0.224, 0.224)  0.51
Ni (0.724, 0.776, 0.776)  0.51
Ni (0.000, 0.500, 0.000)  0.54
Ni (0.000, 0.000, 0.500)  0.54
Ni (0.000, 0.355, 0.645)  0.49
Ni (0.500, 0.500, 0.000)  0.54
Ni (0.500, 0.776, 0.224)  0.51
Ni (0.355, 0.645, 0.645)  0.49
Ni (0.500, 0.224, 0.776)  0.51
Ni (0.000, 0.645, 0.355)  0.49
Ni (0.500, 0.000, 0.500)  0.54

***

7.
VASP calculation (PBE) on a geometry-optimized Hf2GaPd9 structure.

Calculated values
total energy = -6.5686 eV per atom
energy of formation from the pure elements = -0.7629 eV/atom
symmetry = P4/mmm

a = 3.991 Å, b = 3.991 Å, c = 11.904 Å
α = 90.00°, β = 90.00°, γ = 90.00°
Fractional positions:
Pd (0.500, 0.000, 0.836)
Pd (0.500, 0.000, 0.164)
Hf (0.000, 0.000, 0.329)
Pd (0.000, 0.500, 0.836)
Hf (0.000, 0.000, 0.671)
Ga (0.000, 0.000, 0.000)
Pd (0.000, 0.500, 0.164)
Pd (0.500, 0.500, 0.332)
Pd (0.500, 0.000, 0.500)
Pd (0.500, 0.500, 0.000)
Pd (0.500, 0.500, 0.668)
Pd (0.000, 0.500, 0.500)

***

8.
VASP calculation (PBE) on a geometry-optimized NpMn2Cl8 structure.

Calculated values
energy above the most stable polymorph in this dataset = 0.000 eV/atom
total energy = -5.4446 eV per atom
raw formation energy = -1.258 eV/atom
symmetry = C2/m

a = 6.588 Å, b = 7.783 Å, c = 7.783 Å
α = 65.39°, β = 85.43°, γ = 85.43°
Last column: magnetic moment on the atom in μB.
Fractional positions:
Cl (0.281, 0.842, 0.842)  0.00
Cl (0.712, 0.639, 0.639)  0.09
Cl (0.212, 0.307, 0.889)  0.01
Cl (0.788, 0.111, 0.693)  0.01
Mn (0.645, 0.807, 0.807)  4.21
Cl (0.719, 0.158, 0.158)  0.00
Cl (0.788, 0.693, 0.111)  0.01
Cl (0.212, 0.889, 0.307)  0.01
Cl (0.288, 0.361, 0.361)  0.09
Np (0.000, 0.000, 0.000)  3.44
Mn (0.355, 0.193, 0.193)  4.21

***

9.
VASP calculation (PBE) on a geometry-optimized CsTlBr3 structure.

Calculated values
total energy = -2.6979 eV per atom
raw formation energy = -1.050 eV/atom
symmetry = C2/c

a = 13.734 Å, b = 9.385 Å, c = 9.385 Å
α = 71.91°, β = 111.10°, γ = 68.90°
Fractional positions:
Cs (0.250, 0.761, 0.261)
Br (0.090, 0.549, 0.394)
Br (0.401, 0.278, 0.397)
Br (0.611, 0.364, 0.268)
Tl (0.730, 0.061, 0.271)
Br (0.590, 0.106, 0.951)
Br (0.599, 0.722, 0.603)
Cs (0.750, 0.600, 0.100)
Cs (0.750, 0.239, 0.739)
Br (0.901, 0.103, 0.222)
Br (0.389, 0.636, 0.732)
Cs (0.250, 0.400, 0.900)
Tl (0.230, 0.229, 0.439)
Br (0.099, 0.897, 0.778)
Br (0.910, 0.451, 0.606)
Tl (0.770, 0.771, 0.561)
Tl (0.270, 0.939, 0.729)
Br (0.410, 0.894, 0.049)
Br (0.889, 0.768, 0.864)
Br (0.111, 0.232, 0.136)

***

10.
VASP calculation (PBE) on a geometry-optimized BaCd9Hg2 structure.

Calculated values
energy above the most stable polymorph in this dataset = 0.019 eV/atom
total energy = -0.9645 eV per atom
energy of formation from the pure elements = -0.0676 eV/atom
symmetry = P6/mmm

a = 3.793 Å, b = 9.671 Å, c = 9.671 Å
α = 120.00°, β = 90.00°, γ = 90.00°
Fractional positions:
Cd (0.500, 0.186, 0.371)
Hg (0.000, 0.333, 0.667)
Cd (0.500, 0.814, 0.629)
Hg (0.000, 0.667, 0.333)
Cd (0.000, 0.500, 0.500)
Cd (0.000, 0.500, 0.000)
Ba (0.000, 0.000, 0.000)
Cd (0.500, 0.629, 0.814)
Cd (0.500, 0.186, 0.814)
Cd (0.500, 0.371, 0.186)
Cd (0.500, 0.814, 0.186)
Cd (0.000, 0.000, 0.500)

***

11.
VASP calculation (PBE) on a geometry-optimized SmTh2Os9 structure.

Calculated values
total energy = -10.1287 eV per atom
energy of formation from the pure elements = -0.0765 eV/atom
symmetry = C2/m

a = 5.348 Å, b = 5.348 Å, c = 9.368 Å
α = 73.28°, β = 73.27°, γ = 61.70°
Fractional positions:
Os (0.406, 0.406, 0.259)
Os (0.363, 0.363, 0.996)
Th (0.862, 0.862, 0.419)
Os (0.920, 0.427, 0.232)
Os (0.427, 0.920, 0.232)
Sm (0.000, 0.000, 0.000)
Th (0.138, 0.138, 0.581)
Os (0.594, 0.594, 0.741)
Os (0.500, 0.500, 0.500)
Os (0.637, 0.637, 0.004)
Os (0.573, 0.080, 0.768)
Os (0.080, 0.573, 0.768)

***

12.
VASP calculation (PBE) on a geometry-optimized BaCa4Rh2 structure.

Calculated values
total energy = -3.7594 eV per atom
energy of formation from the pure elements = -0.2405 eV/atom
symmetry = Ima2

a = 6.588 Å, b = 8.196 Å, c = 9.920 Å
α = 114.40°, β = 109.39°, γ = 90.00°
Fractional positions:
Ca (0.962, 0.067, 0.610)
Rh (0.288, 0.367, 0.733)
Ca (0.816, 0.620, 0.240)
Ba (0.434, 0.739, 0.478)
Ca (0.603, 0.207, 0.890)
Ba (0.207, 0.011, 0.022)
Ca (0.603, 0.683, 0.890)
Ca (0.446, 0.237, 0.473)
Rh (0.805, 0.383, 0.767)
Ca (0.962, 0.543, 0.610)
Ca (0.826, 0.130, 0.260)
Rh (0.538, 0.875, 0.250)
Rh (0.538, 0.375, 0.250)
Ca (0.223, 0.513, 0.027)

***

13.
VASP calculation (PBE) on a geometry-optimized CaGaNO2 structure.

Calculated values
total energy = -5.6811 eV per atom
raw formation energy = -1.027 eV/atom
symmetry = P4/mmm

a = 3.983 Å, b = 3.983 Å, c = 3.842 Å
α = 90.00°, β = 90.00°, γ = 90.00°
Last column: magnetic moment on the atom in μB.
Fractional positions:
O (0.500, 0.000, 0.000)  0.30
Ga (0.000, 0.000, 0.000)  0.00
O (0.000, 0.500, 0.000)  0.30
N (0.000, 0.000, 0.500)  0.93
Ca (0.500, 0.500, 0.500)  0.00

***

14.
VASP calculation (PBE) on a geometry-optimized SrMn2N2 structure.

Calculated values
total energy = -7.7294 eV per atom
raw formation energy = -0.395 eV/atom
symmetry = C2/m

a = 5.827 Å, b = 5.827 Å, c = 5.880 Å
α = 87.52°, β = 87.52°, γ = 101.97°
Last column: magnetic moment on the atom in μB.
Fractional positions:
N (0.162, 0.162, 0.661)  -0.04
N (0.573, 0.921, 0.796)  0.01
Mn (0.305, 0.015, 0.906)  1.75
Mn (0.120, 0.120, 0.302)  -2.48
Mn (0.015, 0.305, 0.906)  1.75
N (0.838, 0.838, 0.339)  -0.04
N (0.079, 0.427, 0.204)  0.01
N (0.921, 0.573, 0.796)  0.01
N (0.427, 0.079, 0.204)  0.01
Sr (0.302, 0.698, 0.500)  0.01
Mn (0.695, 0.985, 0.094)  1.75
Sr (0.500, 0.500, 0.000)  0.01
Mn (0.880, 0.880, 0.698)  -2.48
Mn (0.985, 0.695, 0.094)  1.75
Sr (0.698, 0.302, 0.500)  0.01

***

15.
VASP calculation (PBE) on a geometry-optimized ZnTeCl2 structure.

Calculated values
energy above the most stable polymorph in this dataset = 0.377 eV/atom
total energy = -2.2740 eV per atom
raw formation energy = -0.247 eV/atom
symmetry = Pmm2

a = 4.603 Å, b = 4.586 Å, c = 4.956 Å
α = 90.00°, β = 90.00°, γ = 90.00°
Fractional positions:
Cl (0.000, 0.000, 0.124)
Te (0.000, 0.000, 0.624)
Zn (0.500, 0.500, 0.626)
Cl (0.500, 0.500, 0.125)

***

16.
VASP calculation (PBE) on a geometry-optimized NiHOs structure.

Calculated values
energy above the most stable polymorph in this dataset = 0.037 eV/atom
total energy = -6.6490 eV per atom
symmetry = Pm

a = 3.816 Å, b = 2.739 Å, c = 5.424 Å
α = 90.00°, β = 90.61°, γ = 90.00°
Fractional positions:
Os (0.537, 0.000, 0.415)
Ni (0.519, 0.000, 0.899)
Ni (0.042, 0.500, 0.149)
Os (0.046, 0.500, 0.629)
H (0.493, 0.500, 0.175)
H (0.787, 0.500, 0.904)

***

17.
VASP calculation (PBE) on a geometry-optimized TeH structure.

Calculated values
energy above the most stable polymorph in this dataset = 0.583 eV/atom
total energy = -2.4986 eV per atom
symmetry = Pm-3n

a = 6.360 Å, b = 6.360 Å, c = 6.360 Å
α = 90.00°, β = 90.00°, γ = 90.00°
Fractional positions:
H (0.500, 0.750, 0.000)
H (0.250, 0.000, 0.500)
Te (0.250, 0.500, 0.000)
Te (0.500, 0.000, 0.750)
H (0.000, 0.500, 0.750)
Te (0.000, 0.750, 0.500)
Te (0.750, 0.500, 0.000)
Te (0.000, 0.250, 0.500)
Te (0.500, 0.000, 0.250)
H (0.500, 0.250, 0.000)
H (0.000, 0.500, 0.250)
H (0.750, 0.000, 0.500)

***

18.
VASP calculation (PBE) on a geometry-optimized BaNb2B structure.

Calculated values
total energy = -6.2889 eV per atom
energy of formation from the pure elements = 0.8961 eV/atom
symmetry = Fd-3m

a = 6.782 Å, b = 6.782 Å, c = 6.787 Å
α = 60.02°, β = 60.02°, γ = 90.00°
Fractional positions:
B (0.500, 0.500, 0.000)
Nb (0.375, 0.125, 0.250)
Nb (0.875, 0.625, 0.750)
B (0.250, 0.750, 0.500)
Nb (0.375, 0.625, 0.250)
Ba (0.750, 0.250, 0.500)
Nb (0.375, 0.625, 0.750)
Ba (0.000, 0.000, 0.000)

***

19.
VASP calculation (PBE) on a geometry-optimized Al2PCl structure.

Calculated values
energy above the most stable polymorph in this dataset = 0.000 eV/atom
total energy = -4.0010 eV per atom
raw formation energy = -0.316 eV/atom
symmetry = C2/m

a = 3.850 Å, b = 3.850 Å, c = 7.346 Å
α = 98.84°, β = 98.84°, γ = 57.41°
Fractional positions:
Al (0.887, 0.887, 0.075)
P (0.250, 0.250, 0.250)
Al (0.613, 0.613, 0.425)
Cl (0.750, 0.750, 0.750)

***

20.
VASP calculation (PBE) on a geometry-optimized ZrHgMo2 structure.

Calculated values
total energy = -7.3124 eV per atom
energy of formation from the pure elements = 0.3156 eV/atom
symmetry = C2/m

a = 5.467 Å, b = 5.615 Å, c = 2.808 Å
α = 79.70°, β = 81.58°, γ = 116.75°
Fractional positions:
Mo (0.500, 0.000, 0.500)
Hg (0.500, 0.500, 0.000)
Mo (0.000, 0.000, 0.000)
Zr (0.000, 0.500, 0.500)

***

21.
VASP calculation (PBE) on a geometry-optimized ErTh2Pd structure.

Calculated values
energy above the most stable polymorph in this dataset = 0.304 eV/atom
total energy = -6.1171 eV per atom
energy of formation from the pure elements = 0.0318 eV/atom
symmetry = R-3m

a = 3.467 Å, b = 3.467 Å, c = 11.282 Å
α = 81.16°, β = 81.16°, γ = 60.00°
Fractional positions:
Th (0.099, 0.099, 0.704)
Er (0.000, 0.000, 0.000)
Th (0.901, 0.901, 0.296)
Pd (0.500, 0.500, 0.500)

***

22.
VASP calculation (PBE) on a geometry-optimized GaPIr2Pt structure.

Calculated values
total energy = -5.0221 eV per atom
energy of formation from the pure elements = 1.4178 eV/atom
symmetry = P4/mmm

a = 4.571 Å, b = 4.408 Å, c = 4.571 Å
α = 90.00°, β = 90.00°, γ = 90.00°
Fractional positions:
Pt (0.500, 0.500, 0.500)
Ir (0.500, 0.000, 0.000)
Ir (0.000, 0.000, 0.500)
Ga (0.000, 0.000, 0.000)
P (0.000, 0.500, 0.000)

***

23.
VASP calculation (PBE) on a geometry-optimized AlSnIr2W structure.

Calculated values
total energy = -6.6148 eV per atom
energy of formation from the pure elements = 1.0693 eV/atom
symmetry = P4/mmm

a = 4.811 Å, b = 4.864 Å, c = 4.811 Å
α = 90.00°, β = 90.00°, γ = 90.00°
Fractional positions:
Ir (0.000, 0.000, 0.500)
Sn (0.500, 0.500, 0.500)
Al (0.000, 0.500, 0.000)
W (0.000, 0.000, 0.000)
Ir (0.500, 0.000, 0.000)

***

24.
VASP calculation (PBE) on a geometry-optimized ScTa2Ti structure.

Calculated values
energy above the most stable polymorph in this dataset = 0.403 eV/atom
total energy = -8.7787 eV per atom
energy of formation from the pure elements = 0.7042 eV/atom
symmetry = I-42d

a = 7.448 Å, b = 7.448 Å, c = 5.979 Å
α = 51.47°, β = 51.47°, γ = 90.00°
Fractional positions:
Ti (0.000, 0.000, 0.000)
Ta (0.375, 0.362, 0.750)
Ta (0.638, 0.125, 0.250)
Sc (0.250, 0.750, 0.500)
Sc (0.500, 0.500, 0.000)
Ti (0.750, 0.250, 0.500)
Ta (0.112, 0.625, 0.250)
Ta (0.875, 0.888, 0.750)

***

no.,spin magnetization (μB/atom),DOS at the Fermi energy (states/eV per atom)
1,0.00,0.664
2,0.00,0.561
3,0.48,0.703
4,0.54,0.855
5,0.12,0.544
6,0.43,1.675
7,0.00,0.443
8,1.18,0.637
9,0.00,0.000
10,0.00,0.620
11,0.00,1.000
12,0.00,0.565
13,0.40,0.346
14,0.14,0.545
15,0.00,0.271
16,0.00,0.628
17,0.00,1.088
18,0.00,0.749
19,0.00,0.217
20,0.00,0.979
21,0.00,1.441
22,0.00,1.517
23,0.00,0.622
24,0.00,1.549